A geometry-optimized Na2VSnCl6 structure. Source: the Alexandria database, functional PBE-GGA.

Values from the calculation:
* space group: R3
* ρ: 2.8 g cm⁻³
* VASP energy: -4.020 eV/atom
* formation energy from raw total energies: -1.336 eV/atom
* calculated volume: 255.59 Å³ per cell

Unit cell a=6.920 b=6.920 c=7.345 alpha=61.90 beta=61.90 gamma=59.99
Sites, in units of the cell vectors:
V: 0.325 0.325 0.026
Na: 0.525 0.525 0.424
Na: 0.015 0.015 0.954
Cl: 0.221 0.964 0.246
Cl: 0.117 0.419 0.775
Cl: 0.419 0.689 0.775
Cl: 0.569 0.221 0.245
Cl: 0.964 0.570 0.245
Cl: 0.689 0.117 0.775
Sn: 0.817 0.817 0.548